Record 1
Density functional theory data (GGA-PBEsol) for an optimized crystal structure of Bi3O4F.

Output
ΔE_f (raw)   -1.44 eV per atom
Polymorph energy (0 for the lowest one)   2 meV per atom
Total DFT energy (no corrections)   -5.91 eV/atom

Geometry as POSCAR:
```
Bi3O4F
1.0
2.7779 -2.7726 0.0000
2.7779 2.7726 0.0000
-1.6788 0.0000 8.4284
Bi O F
3 4 1
Direct
0.0000 0.0000 0.0000
0.3925 0.3925 0.6948
0.6075 0.6075 0.3052
0.0480 0.5498 0.1751
0.4502 0.9520 0.8249
0.5498 0.0480 0.1751
0.9520 0.4502 0.8249
0.0000 0.0000 0.5000
```

***

Record 2
Density functional theory data (GGA-PBEsol) for an optimized crystal structure of K2CaMo.

Output
Formation energy   1.258 eV/atom
Polymorph energy (0 for the lowest one)   207 meV per atom
Total DFT energy (no corrections)   -2.78 eV/atom

Geometry as POSCAR:
```
K2CaMo
1.0
-2.4434 2.4434 6.2569
2.4434 -2.4434 6.2569
2.4434 2.4434 -6.2569
K Ca Mo
2 1 1
Direct
0.2500 0.7500 0.5000
0.7500 0.2500 0.5000
0.0000 0.0000 0.0000
0.5000 0.5000 0.0000
```

***

Record 3
Density functional theory data (GGA-PBEsol) for an optimized crystal structure of La2PBr2.

Output
ΔE_f (raw)   -1.82 eV per atom
Total DFT energy (no corrections)   -5.86 eV/atom

Geometry as POSCAR:
```
La2PBr2
1.0
4.2063 0.0000 0.0000
-2.1031 3.6428 0.0000
0.0000 0.0000 10.2092
La P Br
2 1 2
Direct
0.3333 0.6667 0.3407
0.6667 0.3333 0.6593
0.0000 0.0000 0.5000
0.3333 0.6667 0.8402
0.6667 0.3333 0.1598
```

***

Record 4
Density functional theory data (GGA-PBEsol) for an optimized crystal structure of Al2TeSe.

Output
ΔE_f (raw)   -0.02 eV per atom
Polymorph energy (0 for the lowest one)   307 meV per atom
Total DFT energy (no corrections)   -3.91 eV/atom

Geometry as POSCAR:
```
Al2TeSe
1.0
-1.6490 2.7833 4.7084
1.6490 -2.7833 4.7084
1.6490 2.7833 -4.7084
Al Te Se
2 1 1
Direct
0.0000 0.0000 0.0000
0.7594 0.2594 0.5000
0.2535 0.7535 0.5000
0.5612 0.5612 0.0000
```

***

Record 5
Density functional theory data (GGA-PBEsol) for an optimized crystal structure of TaReSi4.

Output
ΔE_f (raw)   0.28 eV per atom
Total DFT energy (no corrections)   -7.87 eV/atom

Geometry as POSCAR:
```
TaReSi4
1.0
0.0000 3.4053 3.4053
3.4053 0.0000 3.4053
3.4053 3.4053 0.0000
Ta Re Si
1 1 4
Direct
0.0000 0.0000 0.0000
0.2500 0.2500 0.2500
0.1248 0.6251 0.6251
0.6251 0.1248 0.6251
0.6251 0.6251 0.1248
0.6251 0.6251 0.6251
```

***

Record 6
Density functional theory data (GGA-PBEsol) for an optimized crystal structure of K2TaAs.

Output
Formation energy   0.746 eV/atom
Total DFT energy (no corrections)   -4.24 eV/atom

Geometry as POSCAR:
```
K2TaAs
1.0
-1.9709 1.9709 5.8546
1.9709 -1.9709 5.8546
1.9709 1.9709 -5.8546
K Ta As
2 1 1
Direct
0.2500 0.7500 0.5000
0.7500 0.2500 0.5000
0.0000 0.0000 0.0000
0.5000 0.5000 0.0000
```

***

Record 7
Density functional theory data (GGA-PBEsol) for an optimized crystal structure of BeAg2Te.

Output
ΔE_f (raw)   0.26 eV per atom
Polymorph energy (0 for the lowest one)   92 meV per atom
Total DFT energy (no corrections)   -3.28 eV/atom

Geometry as POSCAR:
```
BeAg2Te
1.0
1.9466 -2.2183 0.0000
1.9466 2.2183 0.0000
0.0000 0.0000 8.2932
Be Ag Te
1 2 1
Direct
0.0000 0.0000 0.0000
0.5000 0.5000 0.1775
0.5000 0.5000 0.8225
0.0000 0.0000 0.5000
```

***

Record 8
Density functional theory data (GGA-PBEsol) for an optimized crystal structure of NbPbNO2.

Output
ΔE_f (raw)   0.59 eV per atom
Total DFT energy (no corrections)   -6.18 eV/atom

Geometry as POSCAR:
```
NbPbNO2
1.0
4.1242 0.0000 0.0000
0.0000 4.1242 0.0000
0.0000 0.0000 4.2220
Nb Pb N O
1 1 1 2
Direct
0.0000 0.0000 0.0000
0.5000 0.5000 0.5000
0.5000 0.5000 0.0000
0.0000 0.5000 0.5000
0.5000 0.0000 0.5000
```

***

Question: Look up the total DFT energy (no corrections) of the fifth one.
Answer: -7.87 eV/atom